[1]
KTaP2 | PBE-GGA | optimized geometry

```
KTaP2
1.0
-0.596 -0.417 3.513
-2.239 -2.556 1.150
5.011 -6.016 1.961
K Ta P
1 1 2
direct
0.250 0.250 0.250
0.750 0.750 0.750
0.020 0.020 0.941
0.480 0.480 0.559
```

Summary:
- Distance to the lowest polymorph of the same formula: 0.0 kJ/mol of atoms
- ΔE_f: -0.481 eV per atom
- Mass density: 5.385 g/cm³

[2]
KTa2P | PBE-GGA | optimized geometry

```
KTa2P
1.0
6.381 0.005 0.028
5.793 2.676 0.028
2.149 0.473 4.839
Ta P K
2 1 1
direct
0.053 0.053 0.942
0.447 0.447 0.558
0.750 0.750 0.750
0.250 0.250 0.250
```

Summary:
- ΔE_f: 0.423 eV per atom
- Mass density: 8.715 g/cm³

[3]
KTaP2 | PBE-GGA | optimized geometry

```
KTaP2
1.0
5.960 0.012 -0.050
0.939 5.886 0.050
-1.858 -4.812 2.988
P K Ta
2 1 1
direct
0.946 0.946 0.000
0.554 0.554 0.000
0.250 0.750 0.500
0.750 0.250 0.500
```

Summary:
- Distance to the lowest polymorph of the same formula: 62.9 kJ/mol of atoms
- ΔE_f: 0.170 eV per atom
- Mass density: 4.423 g/cm³